No. 1
First-principles (PBE) data for a geometry-optimized RbBrN2F structure, as listed in Alexandria.

The structure in POSCAR format:
```
RbBrN2F
1.0
3.984 0.000 0.000
0.000 3.984 0.000
0.000 0.000 5.787
Rb Br N F
1 1 2 1
direct
0.000 0.000 0.000
0.500 0.500 0.500
0.000 0.500 0.500
0.500 0.000 0.500
0.500 0.500 0.000
```

Properties
Relative energy among the computed polymorphs   0.000 eV per formula unit
Crystal system   tetragonal
SG   No. 123
DOS(E_F)   0.505 states/eV per atom
Calculated total energy   -3.394 eV/atom
Total magnetization   0.28 μB per atom


No. 2
First-principles (PBE) data for a geometry-optimized CrFe2Ag structure, as listed in Alexandria.

The structure in POSCAR format:
```
CrFe2Ag
1.0
4.413 -1.402 0.000
4.413 1.402 0.000
-1.094 0.000 4.437
Cr Fe Ag
1 2 1
direct
0.000 0.000 0.000
0.258 0.258 0.777
0.742 0.742 0.223
0.500 0.500 0.500
```

Properties
Relative energy among the computed polymorphs   0.524 eV per formula unit
Crystal system   monoclinic
SG   No. 12
DOS(E_F)   1.186 states/eV per atom
Calculated total energy   -6.898 eV/atom
Total magnetization   0.49 μB per atom
Energy relative to the elements   452 meV/atom